# 1
4
Lattice="9.811 0.016 0.010 9.398 2.817 0.010 9.398 1.386 2.453" Properties=species:S:1:pos:R:3 comment="Ag2RuAu GGA-PBE relaxed" space_group="R3m (160)" ef_mev_per_atom=297 relative_energy_ev_per_fu=0.00 pbc="T T T"
Ag 0.068 0.010 0.006
Ag 7.159 1.056 0.619
Au 14.223 2.098 1.229
Ru 21.462 3.166 1.854

=====

# 2
10
Lattice="-0.420 4.419 3.303 -5.719 -0.968 0.568 2.483 -4.877 2.207" Properties=species:S:1:pos:R:3 comment="SnHgO3 GGA-PBE relaxed" energy_ev_per_atom=-4.663 space_group="C2/m (12)" pbc="T T T"
Sn 1.288 0.322 4.367
Sn -4.944 -1.748 1.710
Hg -1.682 -2.360 2.943
Hg -1.974 0.934 3.134
O -3.708 1.363 4.659
O -1.178 -0.442 0.441
O -3.498 -0.849 3.005
O -0.159 -0.577 3.072
O 0.052 -2.789 1.418
O -2.478 -0.985 5.636

=====

# 3
12
Lattice="3.486 0.000 0.000 0.000 5.533 0.000 0.000 -2.766 18.323" Properties=species:S:1:pos:R:3 comment="Ho7Tm2Sc3 GGA-PBE relaxed" space_group="Cmmm (65)" ef_mev_per_atom=165 pbc="T T T"
Ho 0.000 0.000 14.912
Ho 0.000 2.766 9.808
Ho 0.000 0.000 0.000
Ho 0.000 2.766 3.411
Ho 1.743 0.000 2.647
Ho 1.743 2.766 15.675
Ho 0.000 0.000 8.514
Tm 0.000 2.766 12.852
Tm 0.000 0.000 5.470
Sc 1.743 2.766 0.000
Sc 1.743 2.766 6.804
Sc 1.743 0.000 11.519

=====

# 4
4
Lattice="-2.050 -3.838 0.615 0.161 -1.972 3.923 -3.600 -0.190 2.513" Properties=species:S:1:pos:R:3 comment="CrGaPdPt GGA-PBE relaxed" space_group="F-43m (216)" ef_mev_per_atom=-358 pbc="T T T"
Cr 0.000 0.000 0.000
Ga -2.744 -3.000 3.526
Pd -1.372 -1.500 1.763
Pt -4.117 -4.500 5.289

=====

# 5
8
Lattice="-3.819 -0.716 0.283 1.236 -6.634 -0.102 0.064 2.213 6.457" Properties=species:S:1:pos:R:3 comment="YHf2ScAs4 GGA-PBE relaxed" space_group="P2/m (10)" ef_mev_per_atom=-1215 pbc="T T T"
Y 0.000 0.000 0.000
Hf -1.877 0.749 3.370
Hf 0.650 -2.210 3.178
Sc -1.292 -3.675 0.091
As -1.571 -1.505 1.807
As -0.948 -3.631 4.832
As 0.362 -0.041 4.770
As 0.939 -4.380 1.585

=====

# 6
12
Lattice="-0.096 3.949 1.103 -7.319 1.080 -4.502 -3.008 -4.398 7.857" Properties=species:S:1:pos:R:3 comment="Pr6P2PdCl3 GGA-PBE relaxed" energy_ev_per_atom=-5.599 space_group="C2/m (12)" pbc="T T T"
Pr -8.601 -0.636 1.532
Pr -5.229 1.741 0.940
Pr -1.821 1.268 2.927
Pr -1.750 0.209 -0.901
Pr -8.672 0.422 5.360
Pr -5.193 -1.109 3.519
P -6.965 1.089 3.120
P -3.457 -0.458 1.339
Pd -0.048 1.975 0.552
Cl -3.707 2.515 -1.699
Cl -3.409 0.529 5.434
Cl -7.013 0.102 -0.975

=====

# 7
4
Lattice="-4.236 -0.224 0.562 -0.368 -3.592 2.296 2.161 3.635 0.650" Properties=species:S:1:pos:R:3 comment="ZnFe2P GGA-PBE relaxed" space_group="Immm (71)" ef_mev_per_atom=-30 pbc="T T T"
Fe -0.216 -0.179 0.134
Fe -2.086 -1.729 1.295
P -0.255 -0.932 2.188
Zn -2.188 0.752 1.321

=====

# 8
6
Lattice="2.948 0.000 0.000 0.000 3.519 0.000 0.000 1.759 9.501" Properties=species:S:1:pos:R:3 comment="PmPdC GGA-PBE relaxed" space_group="Cmcm (63)" ef_mev_per_atom=-2 pbc="T T T"
Pm 0.737 3.519 1.676
Pm 2.211 1.759 7.825
Pd 0.737 1.759 4.005
Pd 2.211 3.519 5.495
C 0.737 3.519 9.133
C 2.211 1.759 0.368

=====

# 9
8
Lattice="3.953 0.000 0.000 0.000 3.953 0.000 0.000 0.000 7.958" Properties=species:S:1:pos:R:3 comment="NpTaRh6 GGA-PBE relaxed" space_group="P4/mmm (123)" ef_mev_per_atom=-487 pbc="T T T"
Np 0.000 0.000 0.000
Ta 0.000 0.000 3.979
Rh 1.976 1.976 0.000
Rh 1.976 1.976 3.979
Rh 1.976 0.000 2.064
Rh 1.976 0.000 5.895
Rh 0.000 1.976 2.064
Rh 0.000 1.976 5.895

=====

# 10
10
Lattice="-0.449 -4.616 -7.297 7.769 2.973 -2.359 6.160 -5.254 -2.178" Properties=species:S:1:pos:R:3 comment="Rb2BeAuI6 GGA-PBE relaxed" energy_ev_per_atom=-2.474 space_group="I4/mmm (139)" pbc="T T T"
I 4.638 -2.555 -3.792
I 8.843 -4.342 -8.043
I 1.665 -0.374 -2.197
I 5.655 -1.270 -7.459
I 1.421 -2.890 -6.174
I 5.899 1.246 -3.482
Be 3.660 -0.822 -4.828
Au 0.000 0.000 0.000
Rb 4.686 -5.346 -7.152
Rb 8.795 -1.551 -4.683

=====

# 11
8
Lattice="-1.710 5.439 -0.328 -4.982 -1.421 2.402 -1.206 2.984 6.051" Properties=species:S:1:pos:R:3 comment="InPt2F GGA-PBE relaxed" space_group="I-42d (122)" relative_energy_ev_per_fu=2.33 pbc="T T T"
F -3.346 2.009 1.037
F -4.767 1.786 4.746
Pt -1.911 3.707 1.624
Pt -3.711 0.798 2.958
Pt -3.653 3.676 5.432
Pt -6.521 5.821 6.238
In 0.000 0.000 0.000
In -3.131 5.216 3.380

=====

# 12
10
Lattice="-7.170 -1.242 -3.750 -2.134 -5.322 5.842 -7.001 1.025 4.111" Properties=species:S:1:pos:R:3 comment="Rb2AlOsI6 GGA-PBE relaxed" energy_ev_per_atom=-3.093 space_group="I4/mmm (139)" pbc="T T T"
I -5.889 -1.014 2.660
I -10.417 -4.524 3.543
I -2.199 -1.552 0.495
I -7.105 -5.012 1.597
I -5.979 -2.206 -1.483
I -3.325 -4.357 3.575
Os 0.000 0.000 0.000
Al -4.652 -3.282 1.046
Rb -9.412 -1.749 0.703
Rb -6.894 -3.789 5.500

=====

# 13
4
Lattice="3.483 0.000 0.000 0.000 3.483 0.000 0.000 0.000 6.867" Properties=species:S:1:pos:R:3 comment="DyMgGa2 GGA-PBE relaxed" space_group="P4/mmm (123)" ef_mev_per_atom=-370 pbc="T T T"
Mg 1.741 1.741 0.000
Ga 0.000 0.000 5.338
Ga 0.000 0.000 1.529
Dy 1.741 1.741 3.434

=====

# 14
11
Lattice="-5.161 -2.507 -2.288 4.750 -2.130 -7.003 4.950 -6.794 -2.342" Properties=species:S:1:pos:R:3 comment="TbTm8Sn2 GGA-PBE relaxed" space_group="C2/m (12)" ef_mev_per_atom=-155 pbc="T T T"
Tb 0.000 0.000 0.000
Tm 3.779 -7.494 -5.358
Tm 0.859 -6.237 -3.975
Tm 6.813 -7.419 -7.716
Tm -2.274 -4.012 -3.917
Tm 3.680 -5.194 -7.657
Tm 0.760 -3.937 -6.274
Tm 1.100 -7.407 -7.458
Tm 3.439 -4.025 -4.174
Sn 3.807 -8.284 -8.452
Sn 0.732 -3.148 -3.181

=====

# 15
4
Lattice="3.729 0.000 0.000 1.864 3.229 0.000 1.864 1.076 9.231" Properties=species:S:1:pos:R:3 comment="CePrBr2 GGA-PBE relaxed" space_group="R3m (160)" relative_energy_ev_per_fu=0.00 pbc="T T T"
Ce 3.729 2.153 0.024
Pr 3.729 2.153 4.592
Br 1.864 1.076 6.949
Br 1.864 1.076 2.283

=====

# 16
5
Lattice="5.027 0.000 0.000 0.000 4.877 0.000 0.000 0.000 4.877" Properties=species:S:1:pos:R:3 comment="Ho2ThAlC GGA-PBE relaxed" space_group="P4/mmm (123)" ef_mev_per_atom=-341 pbc="T T T"
Ho 0.000 0.000 2.438
Ho 0.000 2.438 0.000
Th 2.513 0.000 0.000
Al 2.513 2.438 2.438
C 0.000 0.000 0.000

=====

# 17
4
Lattice="3.094 0.000 0.000 0.000 3.094 0.000 0.000 0.000 6.772" Properties=species:S:1:pos:R:3 comment="TlSbO2 GGA-PBE relaxed" space_group="P4/mmm (123)" relative_energy_ev_per_fu=2.50 pbc="T T T"
Sb 1.547 1.547 0.000
Tl 1.547 1.547 3.386
O 0.000 0.000 5.485
O 0.000 0.000 1.287

=====

# 18
5
Lattice="-0.181 -2.350 4.043 4.885 0.601 0.568 -0.760 4.007 2.295" Properties=species:S:1:pos:R:3 comment="CaTaNbCr2 GGA-PBE relaxed" space_group="P4/mmm (123)" ef_mev_per_atom=1364 pbc="T T T"
Cr -0.380 2.003 1.147
Cr -0.091 -1.175 2.021
Nb 2.442 0.301 0.284
Ca 1.972 1.129 3.453
Ta 0.000 0.000 0.000

=====

# 19
4
Lattice="-1.728 3.030 1.762 -3.738 -1.444 -1.185 -0.268 -2.209 3.537" Properties=species:S:1:pos:R:3 comment="MnBeIn2 GGA-PBE relaxed" space_group="P4/mmm (123)" ef_mev_per_atom=364 pbc="T T T"
Be -0.998 0.410 2.649
Mn -2.733 0.793 0.289
In 0.000 0.000 0.000
In -2.003 -1.826 1.176